The following is a DFT calculation (PBE) of crystalline K2P2PbS6 at its relaxed geometry.

Properties
As for the space group: R-3m, No. 166. The calculation puts the calculated volume at 28.7 Å³/atom. The crystal system is trigonal. As for the uncorrected formation energy: -62.2 kJ per mole of atoms. The total energy comes out at -4.417 eV/atom.

The structure in POSCAR format:
```
K2P2PbS6
1.0
6.9489 0.0000 0.0000
3.4744 6.0179 0.0000
3.4744 2.0060 7.5493
S P Pb K
6 2 1 2
Cartesian
8.6643 3.0216 5.3975
8.6643 5.0023 2.1517
5.2335 5.0023 2.1517
5.2335 3.0216 5.3975
6.9489 2.0312 2.1517
6.9489 5.9927 5.3975
6.9489 4.0119 2.6005
6.9489 4.0119 4.9488
0.0000 0.0000 0.0000
3.4744 2.0060 2.6453
10.4233 6.0179 4.9039
```